Record 1
The following is a DFT calculation (GGA-PBE) of a relaxed Re2OsPt crystal.

Structure (extended XYZ):
```
4
Lattice="-1.1967 -1.6924 -4.3246 -0.1076 -3.7958 -2.9289 -4.4074 -1.6392 0.9688" Properties=species:S:1:pos:R:3 pbc="T T T"
Os -2.7811 -3.5733 -3.2151
Pt -4.2986 -5.3460 -4.7026
Re -1.3286 -5.4712 -7.2089
Re -1.4636 -1.7889 -1.5540
```

Summary:
Symmetry: Cm
Energy above the lowest structure with this stoichiometry: 120 meV/atom
Energy relative to the elements: 0.01 eV/atom
V: 14.9 A^3/atom

=====

Record 2
The following is a DFT calculation (GGA-PBE) of a relaxed Re2OsPt crystal.

Structure (extended XYZ):
```
4
Lattice="9.1541 -0.0112 -0.0066 8.7404 2.7208 -0.0066 8.7404 1.3235 2.3772" Properties=species:S:1:pos:R:3 pbc="T T T"
Os 6.6588 1.0083 0.5910
Pt 19.9763 3.0249 1.7731
Re 26.5849 4.0256 2.3597
Re 13.3676 2.0242 1.1865
```

Summary:
Symmetry: R-3m
Energy above the lowest structure with this stoichiometry: 128 meV/atom
Energy relative to the elements: 0.02 eV/atom
V: 14.9 A^3/atom

=====

Record 3
The following is a DFT calculation (GGA-PBE) of a relaxed SrReOsPt2 crystal.

Structure (extended XYZ):
```
5
Lattice="-0.2362 -3.9532 2.8884 -0.9466 -2.7132 -3.7909 4.7978 -0.7630 -0.6520" Properties=species:S:1:pos:R:3 pbc="T T T"
Re 1.8075 -3.7147 -0.7772
Os -0.4733 -1.3566 -1.8954
Pt 2.3989 -0.3815 -0.3260
Pt -0.1181 -1.9766 1.4442
Sr 0.0000 0.0000 0.0000
```

Summary:
Symmetry: P4/mmm
Energy relative to the elements: 3.18 eV/atom
V: 22.9 A^3/atom

=====

Record 4
The following is a DFT calculation (GGA-PBE) of a relaxed OsPtRh crystal.

Structure (extended XYZ):
```
3
Lattice="-2.6023 0.8539 -0.1178 0.9534 -1.7541 -1.8786 -1.8850 -5.2062 3.9046" Properties=species:S:1:pos:R:3 pbc="T T T"
Rh -1.5089 -4.4118 1.3536
Os -1.8714 -5.1684 3.8762
Pt -2.0387 -1.7324 0.5829
```

Summary:
Symmetry: P3m1
Energy above the lowest structure with this stoichiometry: 50 meV/atom
Energy relative to the elements: 0.04 eV/atom
V: 14.7 A^3/atom

=====

Record 5
The following is a DFT calculation (GGA-PBE) of a relaxed Os2PtRh crystal.

Structure (extended XYZ):
```
4
Lattice="-1.8408 1.7157 -0.9788 -0.9929 -2.6371 -2.7550 -2.9858 -2.0105 5.8191" Properties=species:S:1:pos:R:3 pbc="T T T"
Os -2.3509 1.0852 -0.1915
Os -2.6504 -1.4965 -0.4309
Pt -3.8380 -2.4972 3.7735
Rh -3.2239 -0.7789 1.9074
```

Summary:
Symmetry: Imm2
Energy above the lowest structure with this stoichiometry: 437 meV/atom
Energy relative to the elements: 0.46 eV/atom
V: 17.1 A^3/atom

=====

Record 6
The following is a DFT calculation (GGA-PBE) of a relaxed OsPtRh3 crystal.

Structure (extended XYZ):
```
5
Lattice="-0.2144 4.6377 0.1308 -4.1095 -0.1290 -2.1601 -2.1533 -0.2155 4.1095" Properties=species:S:1:pos:R:3 pbc="T T T"
Rh -2.0548 -0.0645 -1.0801
Rh -1.0767 -0.1077 2.0547
Rh -0.1072 2.3188 0.0654
Os 0.0000 0.0000 0.0000
Pt -3.2386 2.1466 1.0401
```

Summary:
Symmetry: Pm-3m
Energy above the lowest structure with this stoichiometry: 1494 meV/atom
Energy relative to the elements: 1.50 eV/atom
V: 20.0 A^3/atom

=====

Record 7
The following is a DFT calculation (GGA-PBE) of a relaxed OsPtRh5 crystal.

Structure (extended XYZ):
```
7
Lattice="3.8495 0.0000 0.0000 0.0000 3.8495 0.0000 0.0000 0.0000 7.3533" Properties=species:S:1:pos:R:3 pbc="T T T"
Os 0.0000 0.0000 3.6766
Pt 0.0000 0.0000 0.0000
Rh 1.9248 1.9248 0.0000
Rh 1.9248 0.0000 2.0001
Rh 0.0000 1.9248 2.0001
Rh 1.9248 0.0000 5.3532
Rh 0.0000 1.9248 5.3532
```

Summary:
Symmetry: P4/mmm
Energy relative to the elements: 0.29 eV/atom
V: 15.6 A^3/atom

=====

Record 8
The following is a DFT calculation (GGA-PBE) of a relaxed Os2PtRh crystal.

Structure (extended XYZ):
```
4
Lattice="-0.4410 -4.3091 -0.7231 -3.9914 -1.7270 -0.6097 -1.1815 -1.4502 -3.9733" Properties=species:S:1:pos:R:3 pbc="T T T"
Rh 0.0000 0.0000 0.0000
Os -1.4035 -1.8716 -1.3265
Os -4.2105 -5.6147 -3.9795
Pt -2.8070 -3.7431 -2.6530
```

Summary:
Symmetry: Fm-3m
Energy above the lowest structure with this stoichiometry: 638 meV/atom
Energy relative to the elements: 0.66 eV/atom
V: 15.0 A^3/atom

=====

Number 1: calculated total energy -10.527 eV/atom. Number 2: calculated total energy -10.519 eV/atom. Number 3: calculated total energy -4.309 eV/atom. Number 4: calculated total energy -8.166 eV/atom. Number 5: calculated total energy -8.505 eV/atom. Number 6: calculated total energy -6.369 eV/atom. Number 7: calculated total energy -7.426 eV/atom. Number 8: calculated total energy -8.304 eV/atom.